KPaMnTe4, relaxed, DFT PBE; calculated total energy = -5.29 eV per atom; space group = P2_1/m; magnetic moment = 5.05 μB/f.u.
1.0
7.2504 0.0000 -0.1551
0.0000 7.0753 0.0000
-3.0649 0.0000 9.4322
Te K Pa Mn
8 2 2 2
direct
0.4560 0.7500 0.6013 Te
0.5440 0.2500 0.3987 Te
0.4365 0.7500 0.1559 Te
0.5635 0.2500 0.8441 Te
0.0290 0.5133 0.7089 Te
0.0290 0.9867 0.7089 Te
0.9710 0.0133 0.2911 Te
0.9710 0.4867 0.2911 Te
0.2337 0.2500 0.0482 K
0.7663 0.7500 0.9518 K
0.2397 0.2500 0.5544 Pa
0.7603 0.7500 0.4456 Pa
0.7596 0.2500 0.6656 Mn
0.2404 0.7500 0.3344 Mn